First-principles (meta-GGA SCAN) data for a crystal of Be2BH3O5 relaxed with PBEsol, as listed in Alexandria via LeMat-Bulk.

For the density of states at the Fermi level, the calculation gives 0.00 states/eV/cell. The symmetry is P1 (1). As for the crystal system: triclinic. As for the total DFT energy (no corrections): -7.404 eV/atom.

a b c (Å): 4.411 4.430 5.264
angles (deg): 91.42 90.89 119.79
Fractional coordinates of all 11 atoms:
Be (0.000, 0.000, 0.000)
Be (0.339, 0.678, 0.210)
B (0.670, 0.341, 0.101)
H (0.130, 0.861, 0.611)
H (0.230, 0.461, 0.585)
H (0.740, 0.865, 0.609)
O (0.345, 0.698, 0.517)
O (0.361, 0.031, 0.103)
O (0.671, 0.651, 0.104)
O (0.981, 0.340, 0.095)
O (0.994, 0.980, 0.686)

First-principles (meta-GGA SCAN) data for a crystal of SiHgSb2 relaxed with PBEsol, as listed in Alexandria via LeMat-Bulk.

For the density of states at the Fermi level, the calculation gives 1.61 states/eV/cell. The symmetry is Immm (71). The uncorrected formation energy is 36.6 kJ/mol of atoms. As for the crystal system: orthorhombic.

a b c (Å): 6.346 6.346 6.346
angles (deg): 145.90 138.62 54.66
Fractional coordinates of all 4 atoms:
Si (0.000, 0.000, 0.000)
Hg (0.500, 0.500, 0.000)
Sb (0.191, 0.691, 0.500)
Sb (0.809, 0.309, 0.500)

First-principles (meta-GGA SCAN) data for a crystal of KCa3As relaxed with PBEsol, as listed in Alexandria via LeMat-Bulk.

For the calculated formation energy, the calculation gives -45.2 kJ per mole of atoms. For the density of states at the Fermi level, the calculation gives 2.92 states/eV/cell. The symmetry is Pm-3m (221). As for the crystal system: cubic.

a b c (Å): 5.808 5.808 5.808
angles (deg): 90.00 90.00 90.00
Fractional coordinates of all 5 atoms:
K (0.000, 0.000, 0.000)
Ca (0.000, 0.500, 0.500)
Ca (0.500, 0.000, 0.500)
Ca (0.500, 0.500, 0.000)
As (0.500, 0.500, 0.500)

First-principles (meta-GGA SCAN) data for a crystal of Ir3Os5 relaxed with PBEsol, as listed in Alexandria via LeMat-Bulk.

For the calculated formation energy, the calculation gives 5.7 kJ per mole of atoms. For the density of states at the Fermi level, the calculation gives 4.87 states/eV/cell. The symmetry is Cmmm (65). As for the crystal system: orthorhombic.

a b c (Å): 5.414 5.414 3.813
angles (deg): 90.00 90.00 90.25
Fractional coordinates of all 8 atoms:
Ir (0.000, 0.000, 0.000)
Ir (0.251, 0.251, 0.500)
Ir (0.749, 0.749, 0.500)
Os (0.000, 0.500, 0.000)
Os (0.251, 0.749, 0.500)
Os (0.500, 0.000, 0.000)
Os (0.500, 0.500, 0.000)
Os (0.749, 0.251, 0.500)

First-principles (meta-GGA SCAN) data for a crystal of LiTm2In relaxed with PBEsol, as listed in Alexandria via LeMat-Bulk.

For the calculated formation energy, the calculation gives -31.8 kJ per mole of atoms. For the density of states at the Fermi level, the calculation gives 2.50 states/eV/cell. The symmetry is Fm-3m (225). As for the crystal system: cubic.

a b c (Å): 5.128 5.128 5.128
angles (deg): 60.00 60.00 60.00
Fractional coordinates of all 4 atoms:
Li (0.000, 0.000, 0.000)
Tm (0.250, 0.250, 0.250)
Tm (0.750, 0.750, 0.750)
In (0.500, 0.500, 0.500)

First-principles (meta-GGA SCAN) data for a crystal of Hg2SbAs relaxed with PBEsol, as listed in Alexandria via LeMat-Bulk.

For the density of states at the Fermi level, the calculation gives 1.80 states/eV/cell. The symmetry is C2/m (12). The uncorrected formation energy is 31.3 kJ/mol of atoms. As for the crystal system: monoclinic.

a b c (Å): 5.719 5.719 3.243
angles (deg): 100.55 100.55 114.10
Fractional coordinates of all 4 atoms:
Hg (0.000, 0.500, 0.000)
Hg (0.500, 0.000, 0.000)
Sb (0.000, 0.000, 0.500)
As (0.500, 0.500, 0.500)

First-principles (meta-GGA SCAN) data for a crystal of Ba2LaCd relaxed with PBEsol, as listed in Alexandria via LeMat-Bulk.

For the calculated formation energy, the calculation gives 3.1 kJ per mole of atoms. For the density of states at the Fermi level, the calculation gives 6.16 states/eV/cell. The symmetry is I4/mmm (139). As for the crystal system: tetragonal.

a b c (Å): 6.676 6.676 6.676
angles (deg): 134.78 134.78 65.87
Fractional coordinates of all 4 atoms:
Ba (0.250, 0.750, 0.500)
Ba (0.750, 0.250, 0.500)
La (0.000, 0.000, 0.000)
Cd (0.500, 0.500, 0.000)

First-principles (meta-GGA SCAN) data for a crystal of Tl2HgCl relaxed with PBEsol, as listed in Alexandria via LeMat-Bulk.

For the density of states at the Fermi level, the calculation gives 1.60 states/eV/cell. The symmetry is Pmm2 (25). The uncorrected formation energy is -46.5 kJ/mol of atoms. As for the crystal system: orthorhombic.

a b c (Å): 4.447 6.059 4.224
angles (deg): 90.00 90.00 90.00
Fractional coordinates of all 4 atoms:
Tl (0.000, 0.000, 0.000)
Tl (0.500, 0.500, 0.497)
Hg (0.500, 0.000, 0.500)
Cl (0.000, 0.500, 0.997)

First-principles (meta-GGA SCAN) data for a crystal of CaTlCl2 relaxed with PBEsol, as listed in Alexandria via LeMat-Bulk.

For the density of states at the Fermi level, the calculation gives 1.59 states/eV/cell. The symmetry is P4mm (99). The uncorrected formation energy is -144.6 kJ/mol of atoms. As for the crystal system: tetragonal.

a b c (Å): 3.842 3.842 7.460
angles (deg): 90.00 90.00 90.00
Fractional coordinates of all 4 atoms:
Ca (0.000, 0.000, 0.000)
Tl (0.500, 0.500, 0.603)
Cl (0.000, 0.000, 0.342)
Cl (0.500, 0.500, 0.031)

First-principles (meta-GGA SCAN) data for a crystal of ZrTc2Ir relaxed with PBEsol, as listed in Alexandria via LeMat-Bulk.

For the calculated formation energy, the calculation gives -12.1 kJ per mole of atoms. For the density of states at the Fermi level, the calculation gives 4.08 states/eV/cell. The symmetry is C2/m (12). As for the crystal system: monoclinic.

a b c (Å): 5.200 5.200 2.731
angles (deg): 99.65 99.65 117.90
Fractional coordinates of all 4 atoms:
Zr (0.000, 0.000, 0.000)
Tc (0.000, 0.500, 0.500)
Tc (0.500, 0.000, 0.500)
Ir (0.500, 0.500, 0.000)

First-principles (meta-GGA SCAN) data for a crystal of BaHfAs2I relaxed with PBEsol, as listed in Alexandria via LeMat-Bulk.

For the density of states at the Fermi level, the calculation gives 4.63 states/eV/cell. The symmetry is P4/mmm (123). The uncorrected formation energy is 58.1 kJ/mol of atoms. As for the crystal system: tetragonal.

a b c (Å): 5.590 5.590 5.154
angles (deg): 90.00 90.00 90.00
Fractional coordinates of all 5 atoms:
Ba (0.000, 0.000, 0.000)
Hf (0.500, 0.500, 0.000)
As (0.000, 0.500, 0.500)
As (0.500, 0.000, 0.500)
I (0.500, 0.500, 0.500)

First-principles (meta-GGA SCAN) data for a crystal of LaZn3Ni2 relaxed with PBEsol, as listed in Alexandria via LeMat-Bulk.

For the calculated formation energy, the calculation gives -35.3 kJ per mole of atoms. For the density of states at the Fermi level, the calculation gives 3.59 states/eV/cell. The symmetry is P6/mmm (191). As for the crystal system: hexagonal.

a b c (Å): 5.212 5.212 4.015
angles (deg): 90.00 90.00 120.00
Fractional coordinates of all 6 atoms:
La (0.000, 0.000, 0.000)
Zn (0.000, 0.500, 0.500)
Zn (0.500, 0.000, 0.500)
Zn (0.500, 0.500, 0.500)
Ni (0.333, 0.667, 0.000)
Ni (0.667, 0.333, 0.000)